[1]
Density functional theory data (PBE-GGA) for crystalline BaZnPb2 at its relaxed geometry.

Unit cell a=10.7049 b=10.7049 c=10.7049 alpha=150.62 beta=150.62 gamma=42.04
Last column: nearest neighbours and their distance in Å.
Sites, in units of the cell vectors:
1 Ba 0.0000 0.0000 0.0000  4 Pb 3.42
2 Ba 0.7500 0.2500 0.5000  4 Pb 3.42
3 Zn 0.2500 0.7500 0.5000  4 Pb 2.96
4 Zn 0.5000 0.5000 0.0000  4 Pb 2.96
5 Pb 0.2246 0.6250 0.0996  2 Zn 2.96, 2 Pb 3.17
6 Pb 0.3750 0.4746 0.5996  2 Zn 2.96, 2 Pb 3.17
7 Pb 0.5254 0.1250 0.9004  2 Zn 2.96, 2 Pb 3.17
8 Pb 0.8750 0.7754 0.4004  2 Zn 2.96, 2 Pb 3.17

Output
Mass density = 7.0 Mg/m³
E_form = -0.110 eV/atom
D(E_F) = 0.44 states/eV/atom

***

[2]
Density functional theory data (PBE-GGA) for crystalline BaZnPb at its relaxed geometry.

Unit cell a=6.9179 b=6.9179 c=6.9179 alpha=147.35 beta=147.35 gamma=46.85
Last column: nearest neighbours and their distance in Å.
Sites, in units of the cell vectors:
1 Ba 0.0000 0.0000 0.0000  4 Zn 3.53, 5 Pb 3.74-3.79, 4 Ba 3.89
2 Zn 0.3259 0.3259 0.0000  4 Pb 3.15
3 Pb 0.7056 0.7056 0.0000  4 Zn 3.15

Output
Mass density = 7.1 Mg/m³
E_form = -0.208 eV/atom
D(E_F) = 0.50 states/eV/atom

***

[3]
Density functional theory data (PBE-GGA) for crystalline Ba2ZnPb at its relaxed geometry.

Unit cell a=4.1341 b=4.1763 c=8.7117 alpha=90.00 beta=90.00 gamma=90.00
Last column: nearest neighbours and their distance in Å.
Sites, in units of the cell vectors:
1 Ba 0.0000 0.0000 0.2368  4 Zn 3.59, 4 Pb 3.73
2 Ba 0.0000 0.0000 0.7632  4 Zn 3.59, 4 Pb 3.73
3 Zn 0.5000 0.5000 0.0000  8 Ba 3.59
4 Pb 0.5000 0.5000 0.5000  8 Ba 3.73, 2 Pb 4.13

Output
Mass density = 6.0 Mg/m³
E_form = -0.343 eV/atom
D(E_F) = 0.61 states/eV/atom

***

[4]
Density functional theory data (PBE-GGA) for crystalline Ba2ZnPb at its relaxed geometry.

Unit cell a=6.6206 b=6.6206 c=6.6206 alpha=134.37 beta=134.37 gamma=66.52
Last column: nearest neighbours and their distance in Å.
Sites, in units of the cell vectors:
1 Ba 0.0000 0.0000 0.0000  4 Zn 3.63, 4 Ba 3.78, 4 Pb 3.78
2 Ba 0.7500 0.2500 0.5000  4 Pb 3.63, 4 Ba 3.78, 4 Zn 3.78
3 Zn 0.5000 0.5000 0.0000  8 Ba 3.63-3.78, 4 Pb 3.78
4 Pb 0.2500 0.7500 0.5000  8 Ba 3.63-3.78, 4 Zn 3.78

Output
Mass density = 6.2 Mg/m³
E_form = -0.203 eV/atom
D(E_F) = 0.94 states/eV/atom

***

[5]
Density functional theory data (PBE-GGA) for crystalline BaZnPb3 at its relaxed geometry.

Unit cell a=6.9817 b=6.8045 c=6.8847 alpha=90.00 beta=90.00 gamma=90.00
Last column: nearest neighbours and their distance in Å.
Sites, in units of the cell vectors:
1 Ba 0.0000 0.2057 0.0000  9 Pb 3.49-3.87, 1 Zn 3.50
2 Ba 0.5000 0.7943 0.5000  9 Pb 3.49-3.87, 1 Zn 3.50
3 Zn 0.0000 0.6146 0.3075  5 Pb 2.77-2.99
4 Zn 0.5000 0.3854 0.8075  5 Pb 2.77-2.99
5 Pb 0.0000 0.8999 0.5938  1 Zn 2.77
6 Pb 0.2468 0.2989 0.4765  2 Zn 2.94-2.99
7 Pb 0.2532 0.7011 0.9765  2 Zn 2.94-2.99
8 Pb 0.5000 0.1001 0.0938  1 Zn 2.77
9 Pb 0.7468 0.7011 0.9765  2 Zn 2.94-2.99
10 Pb 0.7532 0.2989 0.4765  2 Zn 2.94-2.99

Output
Mass density = 8.4 Mg/m³
Excess energy over the best structure of this formula in the dataset = 0.017 eV/atom
E_form = -0.225 eV/atom
D(E_F) = 0.39 states/eV/atom

***

[6]
Density functional theory data (PBE-GGA) for crystalline BaZnPb3 at its relaxed geometry.

Unit cell a=5.5689 b=5.5689 c=5.5689 alpha=90.00 beta=90.00 gamma=90.00
Last column: nearest neighbours and their distance in Å.
Sites, in units of the cell vectors:
1 Ba 0.0000 0.0000 0.0000  12 Pb 3.94
2 Zn 0.5000 0.5000 0.5000  6 Pb 2.78
3 Pb 0.0000 0.5000 0.5000  2 Zn 2.78
4 Pb 0.5000 0.0000 0.5000  2 Zn 2.78
5 Pb 0.5000 0.5000 0.0000  2 Zn 2.78

Output
Mass density = 7.9 Mg/m³
Excess energy over the best structure of this formula in the dataset = 0.136 eV/atom
E_form = -0.106 eV/atom
D(E_F) = 0.57 states/eV/atom

***

[7]
Density functional theory data (PBE-GGA) for crystalline Ba2ZrPb at its relaxed geometry.

Unit cell a=12.3243 b=12.3243 c=12.3243 alpha=17.50 beta=17.50 gamma=17.50
Last column: nearest neighbours and their distance in Å.
Sites, in units of the cell vectors:
1 Ba 0.2483 0.2483 0.2483  3 Zr 3.68, 6 Ba 3.75, 3 Pb 3.78
2 Ba 0.7517 0.7517 0.7517  3 Zr 3.68, 6 Ba 3.75, 3 Pb 3.78
3 Zr 0.5000 0.5000 0.5000  6 Ba 3.68, 6 Zr 3.75
4 Pb 0.0000 0.0000 0.0000  6 Pb 3.75, 6 Ba 3.78

Output
Mass density = 6.4 Mg/m³
E_form = 0.329 eV/atom
D(E_F) = 1.63 states/eV/atom

***

[8]
Density functional theory data (PBE-GGA) for crystalline Ba2ZrPb at its relaxed geometry.

Unit cell a=4.6350 b=4.6350 c=6.9171 alpha=90.00 beta=90.00 gamma=90.00
Last column: nearest neighbours and their distance in Å.
Sites, in units of the cell vectors:
1 Ba 0.0000 0.0000 0.2471  2 Ba 3.42-3.50, 4 Pb 3.70, 4 Zr 3.71
2 Ba 0.0000 0.0000 0.7529  2 Ba 3.42-3.50, 4 Pb 3.70, 4 Zr 3.71
3 Zr 0.5000 0.5000 0.5000  2 Pb 3.46, 8 Ba 3.71
4 Pb 0.5000 0.5000 0.0000  2 Zr 3.46, 8 Ba 3.70

Output
Mass density = 6.4 Mg/m³
E_form = 0.274 eV/atom
D(E_F) = 1.27 states/eV/atom

***

[9]
Density functional theory data (PBE-GGA) for crystalline Ba2ZrPb at its relaxed geometry.

Unit cell a=6.3510 b=6.3510 c=6.3510 alpha=130.96 beta=130.96 gamma=71.88
Last column: nearest neighbours and their distance in Å.
Sites, in units of the cell vectors:
1 Ba 0.0000 0.0000 0.0000  4 Ba 3.68, 4 Pb 3.68, 4 Zr 3.73
2 Ba 0.7500 0.2500 0.5000  4 Zr 3.68, 4 Ba 3.68, 4 Pb 3.73
3 Zr 0.5000 0.5000 0.0000  8 Ba 3.68-3.73, 4 Pb 3.68
4 Pb 0.2500 0.7500 0.5000  4 Zr 3.68, 8 Ba 3.68-3.73

Output
Mass density = 6.7 Mg/m³
E_form = 0.232 eV/atom
D(E_F) = 1.07 states/eV/atom

***

[10]
Density functional theory data (PBE-GGA) for crystalline Ba2ZrPb at its relaxed geometry.

Unit cell a=6.5940 b=6.5940 c=6.5940 alpha=134.96 beta=134.96 gamma=65.59
Last column: nearest neighbours and their distance in Å.
Sites, in units of the cell vectors:
1 Ba 0.2500 0.7500 0.5000  4 Ba 3.57, 4 Zr 3.75, 4 Pb 3.75
2 Ba 0.7500 0.2500 0.5000  4 Ba 3.57, 4 Zr 3.75, 4 Pb 3.75
3 Zr 0.0000 0.0000 0.0000  4 Pb 3.57, 8 Ba 3.75
4 Pb 0.5000 0.5000 0.0000  4 Zr 3.57, 8 Ba 3.75

Output
Mass density = 6.7 Mg/m³
E_form = 0.221 eV/atom
D(E_F) = 0.98 states/eV/atom

***

[11]
Density functional theory data (PBE-GGA) for crystalline Ba2ZrPb at its relaxed geometry.

Unit cell a=7.0508 b=7.0508 c=7.0508 alpha=143.39 beta=131.04 gamma=62.65
Last column: nearest neighbours and their distance in Å.
Sites, in units of the cell vectors:
1 Ba 0.0000 0.0000 0.0000  4 Pb 3.80-4.14, 4 Ba 3.80-4.22, 4 Zr 3.80
2 Ba 0.7019 0.2019 0.5000  4 Pb 3.72, 2 Ba 3.80, 4 Zr 3.89-4.10
3 Zr 0.4156 0.4156 0.0000  2 Pb 2.93
4 Pb 0.2563 0.7563 0.5000  2 Zr 2.93

Output
Mass density = 6.1 Mg/m³
E_form = 0.079 eV/atom
D(E_F) = 1.31 states/eV/atom

***

[12]
Density functional theory data (PBE-GGA) for crystalline BaZrPb2 at its relaxed geometry.

Unit cell a=6.0200 b=6.0200 c=3.4496 alpha=90.00 beta=90.00 gamma=104.58
Last column: nearest neighbours and their distance in Å.
Sites, in units of the cell vectors:
1 Ba 0.0000 0.0000 0.0000  2 Ba 3.45, 8 Pb 3.47, 2 Zr 3.68
2 Zr 0.5000 0.5000 0.0000  2 Zr 3.45, 8 Pb 3.47, 2 Ba 3.68
3 Pb 0.0000 0.5000 0.5000  4 Pb 3.45-3.68, 4 Zr 3.47, 4 Ba 3.47
4 Pb 0.5000 0.0000 0.5000  4 Pb 3.45-3.68, 4 Ba 3.47, 4 Zr 3.47

Output
Mass density = 8.8 Mg/m³
E_form = -0.016 eV/atom
D(E_F) = 0.69 states/eV/atom

***

[13]
Density functional theory data (PBE-GGA) for crystalline BaZrPb2 at its relaxed geometry.

Unit cell a=6.4951 b=6.4951 c=6.4951 alpha=137.27 beta=137.27 gamma=62.03
Last column: nearest neighbours and their distance in Å.
Sites, in units of the cell vectors:
1 Ba 0.0000 0.0000 0.0000  8 Pb 3.35-3.65, 4 Zr 3.65
2 Zr 0.7500 0.2500 0.5000  8 Pb 3.35-3.65, 4 Ba 3.65
3 Pb 0.2500 0.7500 0.5000  4 Zr 3.35, 4 Ba 3.65, 4 Pb 3.65
4 Pb 0.5000 0.5000 0.0000  4 Ba 3.35, 4 Pb 3.65, 4 Zr 3.65

Output
Mass density = 8.6 Mg/m³
E_form = 0.055 eV/atom
D(E_F) = 0.79 states/eV/atom

***

[14]
Density functional theory data (PBE-GGA) for crystalline Ba2ZrPb at its relaxed geometry.

Unit cell a=3.7775 b=5.2207 c=7.5234 alpha=90.00 beta=90.00 gamma=90.00
Last column: nearest neighbours and their distance in Å.
Sites, in units of the cell vectors:
1 Ba 0.0000 0.0000 0.2404  4 Ba 3.62-3.91, 4 Pb 3.69, 4 Zr 3.77
2 Ba 0.0000 0.0000 0.7596  4 Ba 3.62-3.91, 4 Pb 3.69, 4 Zr 3.77
3 Zr 0.5000 0.5000 0.5000  2 Pb 3.76, 8 Ba 3.77, 2 Zr 3.78
4 Pb 0.5000 0.5000 0.0000  8 Ba 3.69, 2 Zr 3.76, 2 Pb 3.78

Output
Mass density = 6.4 Mg/m³
E_form = 0.239 eV/atom
D(E_F) = 1.35 states/eV/atom